Density functional theory data (PBE) for crystalline TmLuPa at its relaxed geometry.

abc: 3.3691 3.3691 7.7611
angles: 102.54 102.54 90.00
Atoms (fractional coordinates):
Lu 0.6243 0.6243 0.2487
Tm 0.9427 0.9427 0.8854
Pa 0.2830 0.2830 0.5659

Polymorph energy (0 for the lowest one): 40 meV/atom
Formation energy: 38 kJ/mol of formula units
Symmetry: I4mm, No. 107
Calculated total energy: -6.031 eV per atom



Density functional theory data (PBE) for crystalline CaTiTe2Se at its relaxed geometry.

abc: 5.0611 7.0125 5.0611
angles: 90.00 90.00 90.00
Atoms (fractional coordinates):
Ca 0.0000 0.5000 0.0000
Ti 0.0000 0.0000 0.0000
Se 0.5000 0.5000 0.5000
Te 0.0000 0.0000 0.5000
Te 0.5000 0.0000 0.0000

Symmetry: P4/mmm, No. 123
Calculated total energy: -4.099 eV per atom
Uncorrected formation energy: -0.1658 eV per atom



Density functional theory data (PBE) for crystalline ScSb3 at its relaxed geometry.

abc: 6.5164 6.5164 5.5837
angles: 90.00 90.00 120.00
Atoms (fractional coordinates):
Sb 0.8239 0.6478 0.7500
Sb 0.1761 0.3522 0.2500
Sb 0.3522 0.1761 0.7500
Sb 0.1761 0.8239 0.2500
Sb 0.8239 0.1761 0.7500
Sb 0.6478 0.8239 0.2500
Sc 0.3333 0.6667 0.7500
Sc 0.6667 0.3333 0.2500

Polymorph energy (0 for the lowest one): 137 meV/atom
Symmetry: P6_3/mmc, No. 194
Calculated total energy: -4.905 eV per atom
Uncorrected formation energy: -0.2306 eV per atom



Density functional theory data (PBE) for crystalline KPd2Pb9 at its relaxed geometry.

abc: 8.3715 10.1965 10.1965
angles: 80.30 65.76 65.76
Atoms (fractional coordinates):
Pd 0.8750 0.7500 0.2500
Pd 0.8750 0.2500 0.7500
Pd 0.8750 0.2500 0.2500
Pd 0.3750 0.7500 0.7500
Pb 0.3175 0.6871 0.0613
Pb 0.0659 0.3129 0.9387
Pb 0.7546 0.5613 0.8129
Pb 0.3175 0.0613 0.6871
Pb 0.0659 0.9387 0.3129
Pb 0.9954 0.6871 0.9387
Pb 0.6841 0.5613 0.1871
Pb 0.1288 0.4387 0.1871
Pb 0.6212 0.0613 0.3129
Pb 0.6841 0.1871 0.5613
Pb 0.4325 0.8129 0.4387
Pb 0.6212 0.3129 0.0613
Pb 0.4325 0.4387 0.8129
Pb 0.0000 0.0000 0.0000
Pb 0.7500 0.5000 0.5000
Pb 0.9954 0.9387 0.6871
Pb 0.7546 0.8129 0.5613
Pb 0.1288 0.1871 0.4387
K 0.5000 0.0000 0.0000
K 0.2500 0.5000 0.5000

Formation energy: -104 kJ/mol of formula units
Symmetry: I4_1/amd, No. 141
Calculated total energy: -3.828 eV per atom



Density functional theory data (PBE) for crystalline CuRh at its relaxed geometry.

abc: 6.6954 6.6954 6.6954
angles: 90.00 90.00 90.00
Atoms (fractional coordinates):
Cu 0.2500 0.0000 0.5000
Cu 0.5000 0.2500 0.0000
Cu 0.0000 0.5000 0.2500
Cu 0.7500 0.0000 0.5000
Cu 0.5000 0.7500 0.0000
Cu 0.0000 0.5000 0.7500
Rh 0.5000 0.0000 0.2500
Rh 0.5000 0.0000 0.7500
Rh 0.0000 0.7500 0.5000
Rh 0.7500 0.5000 0.0000
Rh 0.0000 0.2500 0.5000
Rh 0.2500 0.5000 0.0000

Formation energy: 284 kJ/mol of formula units
Symmetry: Pm-3n, No. 223
Calculated total energy: -4.252 eV per atom



Density functional theory data (PBE) for crystalline SrGaAu6 at its relaxed geometry.

abc: 5.6370 5.6370 7.8832
angles: 69.05 69.05 60.00
Atoms (fractional coordinates):
Sr 0.5000 0.5000 0.5000
Au 0.4326 0.9232 0.7210
Au 0.0768 0.0768 0.2790
Au 0.9232 0.4326 0.7210
Au 0.5674 0.0768 0.2790
Au 0.0768 0.5674 0.2790
Au 0.9232 0.9232 0.7210
Ga 0.0000 0.0000 0.0000

Polymorph energy (0 for the lowest one): 106 meV/atom
Formation energy: -174 kJ/mol of formula units
Symmetry: R-3m, No. 166
Calculated total energy: -3.273 eV per atom



Density functional theory data (PBE) for crystalline Ti3GaCo2 at its relaxed geometry.

abc: 2.8820 2.8820 10.1669
angles: 90.00 90.00 90.00
Atoms (fractional coordinates):
Co 0.5000 0.5000 0.1460
Co 0.5000 0.5000 0.8540
Ti 0.0000 0.0000 0.0000
Ti 0.0000 0.0000 0.3073
Ti 0.0000 0.0000 0.6927
Ga 0.5000 0.5000 0.5000

Polymorph energy (0 for the lowest one): 0 meV/atom
Formation energy: -226 kJ/mol of formula units
Symmetry: P4/mmm, No. 123
Calculated total energy: -7.210 eV per atom



Density functional theory data (PBE) for crystalline CsK2Pa3Te8 at its relaxed geometry.

abc: 9.1738 9.1738 10.3692
angles: 63.75 63.75 60.00
Atoms (fractional coordinates):
K 0.1341 0.1341 0.5977
K 0.4997 0.4997 0.5010
Te 0.2685 0.2685 0.1944
Te 0.7547 0.3053 0.1853
Te 0.7028 0.2433 0.8107
Te 0.7547 0.7547 0.1853
Te 0.7264 0.7264 0.8208
Te 0.2433 0.7028 0.8107
Te 0.3053 0.7547 0.1853
Te 0.2433 0.2433 0.8107
Pa 0.4985 0.0028 0.0002
Pa 0.4985 0.4985 0.0002
Pa 0.0028 0.4985 0.0002
Cs 0.8601 0.8601 0.4197

Symmetry: R3m, No. 160
Calculated total energy: -4.950 eV per atom
Uncorrected formation energy: -0.9021 eV per atom